(1)
This record from the Alexandria database describes MnBeCl2 after structural relaxation. The functional is PBE.

POSCAR file:
```
MnBeCl2
1.0
6.215 0.000 0.000
0.000 6.680 0.000
0.000 0.000 3.177
Mn Be Cl
2 2 4
Cartesian
0.000 0.000 0.000
3.107 3.340 0.000
0.000 3.340 0.000
3.107 0.000 0.000
1.554 1.670 1.588
1.554 5.010 1.588
4.661 1.670 1.588
4.661 5.010 1.588
```

Output
Raw formation energy = 0.38 eV per atom
Fermi-level density of states = 2.11 states/eV/f.u.
Excess energy over the best structure of this formula in the dataset = 853 meV/atom
Crystal system = orthorhombic

***

(2)
This record from the Alexandria database describes MnBe3Cl after structural relaxation. The functional is PBE.

POSCAR file:
```
MnBe3Cl
1.0
4.428 0.000 0.000
0.000 4.428 0.000
0.000 0.000 4.428
Mn Be Cl
1 3 1
Cartesian
0.000 0.000 0.000
0.000 0.000 2.214
0.000 2.214 0.000
2.214 0.000 0.000
2.214 2.214 2.214
```

Output
Raw formation energy = 1.21 eV per atom
Fermi-level density of states = 2.81 states/eV/f.u.
Excess energy over the best structure of this formula in the dataset = 0 meV/atom
Crystal system = cubic